(1)
{"formula": "Mn2CdIr", "functional": "PBE", "state": "optimized geometry", "formation_enthalpy_0k_ev_per_fu": 2.13, "m_tot_mub_per_cell": 32.42, "lattice_angstrom": [[7.2262, 0.0000, 0.0000], [0.0000, 7.2262, 0.0000], [0.0000, 0.0000, 5.4578]], "species": ["Mn", "Mn", "Mn", "Mn", "Mn", "Mn", "Mn", "Mn", "Cd", "Cd", "Cd", "Cd", "Ir", "Ir", "Ir", "Ir"], "frac_coords": [[0.2187, 0.2500, 0.1250], [0.2500, 0.7187, 0.3750], [0.2500, 0.7813, 0.8750], [0.2813, 0.2500, 0.6250], [0.7187, 0.7500, 0.6250], [0.7500, 0.2187, 0.8750], [0.7500, 0.2813, 0.3750], [0.7813, 0.7500, 0.1250], [0.0000, 0.0000, 0.5000], [0.0000, 0.5000, 0.7500], [0.5000, 0.0000, 0.2500], [0.5000, 0.5000, 0.0000], [0.0000, 0.0000, 0.0000], [0.0000, 0.5000, 0.2500], [0.5000, 0.0000, 0.7500], [0.5000, 0.5000, 0.5000]]}

(2)
{"formula": "LaTb2Nd2Dy", "functional": "PBE", "state": "optimized geometry", "formation_enthalpy_0k_ev_per_fu": 0.86, "m_tot_mub_per_cell": 0.00, "lattice_angstrom": [[7.0167, 0.0000, 0.0000], [0.0000, 16.5547, 0.0000], [0.0000, 0.0000, 3.5432]], "species": ["La", "La", "Tb", "Tb", "Tb", "Tb", "Nd", "Nd", "Nd", "Nd", "Dy", "Dy"], "frac_coords": [[0.0000, 0.0000, 0.0000], [0.5000, 0.5000, 0.5000], [0.2493, 0.1546, 0.5000], [0.2507, 0.6546, 0.0000], [0.7493, 0.3454, 0.0000], [0.7507, 0.8454, 0.5000], [0.2465, 0.3402, 0.0000], [0.2535, 0.8402, 0.5000], [0.7465, 0.1598, 0.5000], [0.7535, 0.6598, 0.0000], [0.0000, 0.5000, 0.5000], [0.5000, 0.0000, 0.0000]]}

In eV/atom, the uncorrected energy values for the records above are, in order, -6.497, -4.577.